# Na2TbPWO8 (GGA+U, relaxed)
# D(E_F) = 0.000 states/eV per cell
# energy = -366.97 eV for the cell shown
data_Na2TbPWO8
_space_group_name_H-M_alt 'P 1'
_space_group_IT_number 1
_cell_length_a 7.000
_cell_length_b 11.538
_cell_length_c 11.538
_cell_angle_alpha 64.34
_cell_angle_beta 72.34
_cell_angle_gamma 72.34
loop_
_space_group_symop_operation_xyz
'x,y,z'
loop_
_atom_site_label
_atom_site_type_symbol
_atom_site_fract_x
_atom_site_fract_y
_atom_site_fract_z
Tb1 Tb 0.750 0.178 0.822
Tb2 Tb 0.250 0.322 0.678
Tb3 Tb 0.750 0.678 0.322
Tb4 Tb 0.250 0.822 0.178
O1 O 0.308 0.426 0.438
O2 O 0.569 0.359 0.655
O3 O 0.169 0.897 0.346
O4 O 0.931 0.345 0.641
O5 O 0.912 0.603 0.154
O6 O 0.917 0.859 0.155
O7 O 0.828 0.938 0.926
O8 O 0.274 0.396 0.139
O9 O 0.808 0.438 0.426
O10 O 0.672 0.074 0.062
O11 O 0.809 0.361 0.104
O12 O 0.191 0.639 0.896
O13 O 0.583 0.845 0.141
O14 O 0.328 0.926 0.938
O15 O 0.431 0.641 0.345
O16 O 0.069 0.655 0.359
O17 O 0.726 0.604 0.861
O18 O 0.417 0.155 0.859
O19 O 0.088 0.397 0.846
O20 O 0.331 0.654 0.103
O21 O 0.412 0.154 0.603
O22 O 0.774 0.139 0.396
O23 O 0.226 0.861 0.604
O24 O 0.309 0.104 0.361
O25 O 0.691 0.896 0.639
O26 O 0.588 0.846 0.397
O27 O 0.831 0.103 0.654
O28 O 0.083 0.141 0.845
O29 O 0.692 0.574 0.562
O30 O 0.669 0.346 0.897
O31 O 0.172 0.062 0.074
O32 O 0.192 0.562 0.574
P1 P 0.750 0.431 0.569
P2 P 0.750 0.931 0.069
P3 P 0.250 0.569 0.431
P4 P 0.250 0.069 0.931
Na1 Na 0.652 0.393 0.297
Na2 Na 0.158 0.893 0.797
Na3 Na 0.152 0.297 0.393
Na4 Na 0.848 0.703 0.607
Na5 Na 0.342 0.203 0.107
Na6 Na 0.842 0.107 0.203
Na7 Na 0.348 0.607 0.703
Na8 Na 0.658 0.797 0.893
W1 W 0.179 0.571 0.071
W2 W 0.821 0.429 0.929
W3 W 0.321 0.929 0.429
W4 W 0.679 0.071 0.571